A plane-wave DFT calculation with GGA+U was carried out for an optimized crystal structure of CoS2F.

## Properties
The calculation puts the total DFT energy (no corrections) at -3.274 eV/atom. The value obtained for the total magnetization is 1.46 μB per formula unit.

a b c (Å): 8.409 8.409 8.409
angles (deg): 18.11 18.11 18.11
Atoms (fractional coordinates):
Co1 0.000 0.000 0.000
S1 0.087 0.087 0.087
S2 0.913 0.913 0.913
F1 0.500 0.500 0.500